This record from Alexandria via LeMat-Bulk describes crystalline Ce2YHo3Te6 at its relaxed geometry. The functional is PBE.

a b c (Å): 4.355 8.869 9.851
angles (deg): 103.90 102.77 90.00
Positions (direct):
Te 0.663 0.591 0.326
Ho 0.500 0.500 0.000
Ho 0.168 0.834 0.337
Te 0.003 0.750 0.006
Y 0.500 0.000 0.000
Te 0.334 0.925 0.668
Ho 0.832 0.166 0.663
Te 0.666 0.075 0.332
Ce 0.832 0.664 0.665
Te 0.997 0.250 0.994
Te 0.337 0.409 0.674
Ce 0.168 0.336 0.335

total magnetic moment	2.6	μB/f.u.
density of states at the Fermi level	17.08	states/eV per cell
uncorrected formation energy	-1.31	eV/atom
symmetry	C2/m

This record from Alexandria via LeMat-Bulk describes crystalline NiIBr2 at its relaxed geometry. The functional is PBE.

a b c (Å): 6.731 6.771 8.085
angles (deg): 90.84 97.08 117.08
Positions (direct):
Br 0.558 0.164 0.097
Br 0.846 0.725 0.209
Br 0.352 0.083 0.443
Ni 0.612 0.404 0.339
Ni 0.227 0.871 0.176
I 0.129 0.686 0.886
I 0.300 0.539 0.279
Br 0.740 0.585 0.606

total magnetic moment	0.0	μB/f.u.
density of states at the Fermi level	2.19	states/eV per cell
uncorrected formation energy	-0.14	eV/atom
symmetry	P1
energy above the lowest structure with this stoichiometry	43	meV/atom